(1)
The following is a DFT calculation (PBE) of crystalline Cs2LiScBi2 at its relaxed geometry.

```
12
Lattice="7.357 0.000 0.000 0.000 7.378 0.000 -3.679 -3.689 8.869" Properties=species:S:1:pos:R:3 pbc="T T T"
Cs -2.026 0.000 5.776
Sc 3.679 5.534 0.000
Cs 1.652 0.000 3.093
Bi 1.745 0.000 7.338
Bi -1.745 3.689 7.338
Li 0.000 5.534 0.000
Cs 5.705 3.689 3.093
Cs 2.026 3.689 5.776
Sc 3.679 1.845 0.000
Bi 5.423 0.000 1.531
Bi 1.934 3.689 1.531
Li 0.000 1.845 0.000
```

Results
crystal system	orthorhombic
volume	40.1	Å³/atom
E_tot	-3.525	eV per atom
energy relative to the elements	-573	meV per atom

***

(2)
The following is a DFT calculation (PBE) of crystalline KAg4TeS2 at its relaxed geometry.

```
8
Lattice="-0.826 2.566 3.288 -1.381 -3.331 2.252 9.830 -1.574 3.698" Properties=species:S:1:pos:R:3 pbc="T T T"
S 5.472 -1.435 5.243
Te 0.000 0.000 0.000
Ag 1.217 -1.971 1.844
Ag 1.495 0.977 2.362
S 2.152 -0.904 3.995
Ag 7.232 -2.934 4.106
Ag 7.510 0.015 4.624
K 4.915 -0.787 1.849
```

Results
crystal system	tetragonal
N(E_F)	2.59	states/eV/cell
ΔE_f (raw)	-0.2844	eV per atom
volume	24.0	Å³/atom
E_tot	-3.272	eV per atom

***

(3)
The following is a DFT calculation (PBE) of crystalline BaNa2SnF8 at its relaxed geometry.

```
12
Lattice="-2.973 3.459 -0.276 -4.058 -3.326 1.865 1.687 2.041 7.330" Properties=species:S:1:pos:R:3 pbc="T T T"
F -2.043 3.902 6.071
F -3.076 2.649 1.574
Sn 0.000 0.000 0.000
F -0.234 2.480 7.650
Na -2.256 1.587 6.257
F -5.112 -0.307 1.269
Ba 0.843 1.020 3.665
F -3.752 0.403 4.900
F -2.269 -0.475 7.345
F -3.302 -1.728 2.848
F -1.593 1.771 4.019
Na -3.089 0.587 2.662
```

Results
crystal system	triclinic
N(E_F)	0.00	states/eV/cell
ΔE_f (raw)	-2.9265	eV per atom
volume	16.5	Å³/atom
E_tot	-4.888	eV per atom

***

(4)
The following is a DFT calculation (PBE) of crystalline La2PdBr at its relaxed geometry.

```
4
Lattice="-2.048 2.229 1.879 -0.677 -2.597 2.342 6.690 2.335 4.522" Properties=species:S:1:pos:R:3 pbc="T T T"
Br 1.983 0.983 4.372
Pd -1.362 -0.184 2.111
La 1.499 0.523 1.013
La 5.192 1.812 3.509
```

Results
crystal system	tetragonal
N(E_F)	4.62	states/eV/cell
ΔE_f (raw)	-0.9500	eV per atom
volume	26.7	Å³/atom
E_tot	-5.130	eV per atom
energy relative to the lowest polymorph listed for this composition	123	meV per atom

***

Repeat the first record exactly.
The following is a DFT calculation (PBE) of crystalline Cs2LiScBi2 at its relaxed geometry.

```
12
Lattice="7.357 0.000 0.000 0.000 7.378 0.000 -3.679 -3.689 8.869" Properties=species:S:1:pos:R:3 pbc="T T T"
Cs -2.026 0.000 5.776
Sc 3.679 5.534 0.000
Cs 1.652 0.000 3.093
Bi 1.745 0.000 7.338
Bi -1.745 3.689 7.338
Li 0.000 5.534 0.000
Cs 5.705 3.689 3.093
Cs 2.026 3.689 5.776
Sc 3.679 1.845 0.000
Bi 5.423 0.000 1.531
Bi 1.934 3.689 1.531
Li 0.000 1.845 0.000
```

Results
crystal system	orthorhombic
volume	40.1	Å³/atom
E_tot	-3.525	eV per atom
energy relative to the elements	-573	meV per atom